(1)
This record from Alexandria via LeMat-Bulk describes PmEr2Sb after structural relaxation. The functional is GGA-PBE.

Results
- uncorrected formation energy (kJ/mol of formula units) = -214
- symmetry = Cmcm (63)

a b c (Å): 4.127 6.482 9.506
angles (deg): 90.00 90.00 108.56
Fractional positions:
Sb: 0.762 0.524 0.750
Sb: 0.238 0.476 0.250
Pm: 0.056 0.112 0.750
Er: 0.637 0.274 0.043
Er: 0.637 0.274 0.457
Er: 0.363 0.726 0.957
Er: 0.363 0.726 0.543
Pm: 0.944 0.888 0.250

(2)
This record from Alexandria via LeMat-Bulk describes PmEr3Sb after structural relaxation. The functional is GGA-PBE.

Results
- uncorrected formation energy (kJ/mol of formula units) = -187
- symmetry = Pnma (62)

a b c (Å): 3.998 10.680 14.344
angles (deg): 90.00 90.00 90.00
Fractional positions:
Er: 0.250 0.360 0.313
Er: 0.750 0.611 0.271
Sb: 0.250 0.629 0.862
Er: 0.250 0.582 0.077
Pm: 0.750 0.829 0.974
Sb: 0.750 0.871 0.362
Er: 0.250 0.389 0.729
Er: 0.750 0.140 0.813
Er: 0.250 0.860 0.187
Er: 0.750 0.918 0.577
Pm: 0.250 0.671 0.474
Er: 0.750 0.111 0.229
Sb: 0.250 0.129 0.638
Er: 0.250 0.082 0.423
Pm: 0.750 0.329 0.526
Sb: 0.750 0.371 0.138
Er: 0.750 0.640 0.687
Pm: 0.250 0.171 0.026
Er: 0.750 0.418 0.923
Er: 0.250 0.889 0.771

(3)
This record from Alexandria via LeMat-Bulk describes Pm3ErSb3 after structural relaxation. The functional is GGA-PBE.

Results
- uncorrected formation energy (kJ/mol of formula units) = -693
- symmetry = P2_13 (198)

a b c (Å): 9.366 9.366 9.366
angles (deg): 90.00 90.00 90.00
Fractional positions:
Pm: 0.932 0.932 0.932
Pm: 0.432 0.568 0.068
Pm: 0.679 0.321 0.821
Er: 0.927 0.073 0.573
Pm: 0.179 0.179 0.179
Er: 0.073 0.573 0.927
Er: 0.427 0.427 0.427
Sb: 0.998 0.756 0.628
Pm: 0.321 0.821 0.679
Pm: 0.177 0.823 0.323
Sb: 0.872 0.002 0.256
Sb: 0.628 0.998 0.756
Pm: 0.068 0.432 0.568
Sb: 0.744 0.372 0.498
Er: 0.573 0.927 0.073
Sb: 0.498 0.744 0.372
Pm: 0.323 0.177 0.823
Pm: 0.823 0.323 0.177
Sb: 0.128 0.502 0.244
Pm: 0.677 0.677 0.677
Sb: 0.256 0.872 0.002
Pm: 0.568 0.068 0.432
Sb: 0.002 0.256 0.872
Sb: 0.244 0.128 0.502
Sb: 0.372 0.498 0.744
Pm: 0.821 0.679 0.321
Sb: 0.502 0.244 0.128
Sb: 0.756 0.628 0.998

(4)
This record from Alexandria via LeMat-Bulk describes PmEr3Sb3 after structural relaxation. The functional is GGA-PBE.

Results
- uncorrected formation energy (kJ/mol of formula units) = -655
- symmetry = P2_13 (198)

a b c (Å): 9.200 9.200 9.200
angles (deg): 90.00 90.00 90.00
Fractional positions:
Sb: 0.002 0.743 0.622
Er: 0.320 0.180 0.820
Er: 0.077 0.423 0.577
Er: 0.923 0.923 0.923
Pm: 0.930 0.070 0.570
Sb: 0.757 0.378 0.502
Sb: 0.998 0.243 0.878
Sb: 0.122 0.498 0.257
Sb: 0.257 0.122 0.498
Er: 0.678 0.322 0.822
Er: 0.820 0.320 0.180
Er: 0.322 0.822 0.678
Pm: 0.570 0.930 0.070
Sb: 0.378 0.502 0.757
Er: 0.180 0.820 0.320
Sb: 0.622 0.002 0.743
Er: 0.822 0.678 0.322
Er: 0.178 0.178 0.178
Pm: 0.070 0.570 0.930
Sb: 0.878 0.998 0.243
Sb: 0.743 0.622 0.002
Er: 0.423 0.577 0.077
Er: 0.577 0.077 0.423
Pm: 0.430 0.430 0.430
Sb: 0.498 0.257 0.122
Sb: 0.502 0.757 0.378
Sb: 0.243 0.878 0.998
Er: 0.680 0.680 0.680

(5)
This record from Alexandria via LeMat-Bulk describes PmEr2Sb after structural relaxation. The functional is GGA-PBE.

Results
- uncorrected formation energy (kJ/mol of formula units) = -89
- symmetry = Fm-3m (225)

a b c (Å): 5.379 5.379 5.379
angles (deg): 60.00 60.00 60.00
Fractional positions:
Er: 0.750 0.750 0.750
Er: 0.250 0.250 0.250
Pm: 0.000 0.000 0.000
Sb: 0.500 0.500 0.500

(6)
This record from Alexandria via LeMat-Bulk describes Pm3Er4Sb4 after structural relaxation. The functional is GGA-PBE.

Results
- uncorrected formation energy (kJ/mol of formula units) = -762
- symmetry = Amm2 (38)

a b c (Å): 4.297 7.252 11.157
angles (deg): 90.00 90.00 107.23
Fractional positions:
Pm: 0.364 0.728 0.650
Er: 0.066 0.132 0.244
Er: 0.066 0.132 0.756
Pm: 0.364 0.728 0.350
Sb: 0.727 0.454 0.781
Er: 0.659 0.318 0.500
Sb: 0.727 0.454 0.219
Pm: 0.294 0.588 0.000
Sb: 0.950 0.901 0.000
Er: 0.592 0.184 0.000
Sb: 0.990 0.980 0.500

(7)
This record from Alexandria via LeMat-Bulk describes Pm8ErSb6 after structural relaxation. The functional is GGA-PBE.

Results
- uncorrected formation energy (kJ/mol of formula units) = -1161
- symmetry = R-3 (148)

a b c (Å): 8.127 8.127 9.776
angles (deg): 65.44 65.44 60.00
Fractional positions:
Pm: 0.120 0.461 0.636
Pm: 0.333 0.333 0.000
Sb: 0.933 0.261 0.198
Pm: 0.461 0.783 0.636
Sb: 0.261 0.608 0.198
Pm: 0.880 0.539 0.364
Pm: 0.667 0.667 0.000
Pm: 0.539 0.217 0.364
Sb: 0.608 0.933 0.198
Sb: 0.067 0.739 0.802
Er: 0.000 0.000 0.000
Pm: 0.217 0.880 0.364
Pm: 0.783 0.120 0.636
Sb: 0.392 0.067 0.802
Sb: 0.739 0.392 0.802

(8)
This record from Alexandria via LeMat-Bulk describes Pm2ErSb3 after structural relaxation. The functional is GGA-PBE.

Results
- uncorrected formation energy (kJ/mol of formula units) = -667
- symmetry = C2/m (12)

a b c (Å): 7.705 7.705 7.698
angles (deg): 99.60 99.60 120.01
Fractional positions:
Sb: 0.913 0.585 0.755
Sb: 0.753 0.748 0.245
Sb: 0.415 0.087 0.245
Pm: 0.333 0.667 0.000
Pm: 0.833 0.167 0.500
Pm: 0.498 0.502 0.500
Er: 0.666 0.334 0.000
Sb: 0.591 0.925 0.758
Pm: 0.169 0.831 0.500
Sb: 0.075 0.409 0.242
Sb: 0.252 0.247 0.755
Er: 0.001 0.999 0.000

(9)
This record from Alexandria via LeMat-Bulk describes Pm3Er5Sb8 after structural relaxation. The functional is GGA-PBE.

Results
- uncorrected formation energy (kJ/mol of formula units) = -1735
- symmetry = R-3m (166)

a b c (Å): 8.815 8.815 8.811
angles (deg): 59.99 59.99 60.00
Fractional positions:
Sb: 0.744 0.250 0.756
Pm: 0.000 0.000 0.500
Er: 0.500 0.500 0.000
Sb: 0.256 0.750 0.244
Sb: 0.750 0.256 0.244
Pm: 0.000 0.500 0.500
Sb: 0.250 0.744 0.756
Sb: 0.253 0.253 0.241
Er: 0.500 0.000 0.000
Sb: 0.747 0.747 0.759
Sb: 0.250 0.250 0.756
Er: 0.000 0.500 0.000
Er: 0.000 0.000 0.000
Er: 0.500 0.500 0.500
Pm: 0.500 0.000 0.500
Sb: 0.750 0.750 0.244

(10)
This record from Alexandria via LeMat-Bulk describes PmErSb after structural relaxation. The functional is GGA-PBE.

Results
- uncorrected formation energy (kJ/mol of formula units) = -237
- symmetry = I4/mmm (139)

a b c (Å): 4.510 4.510 9.121
angles (deg): 104.31 104.31 90.00
Fractional positions:
Pm: 0.823 0.823 0.646
Er: 0.000 0.500 0.000
Er: 0.500 0.000 0.000
Sb: 0.366 0.366 0.733
Sb: 0.634 0.634 0.267
Pm: 0.177 0.177 0.354

(11)
This record from Alexandria via LeMat-Bulk describes Pm2Er2Sb3 after structural relaxation. The functional is GGA-PBE.

Results
- uncorrected formation energy (kJ/mol of formula units) = -578
- symmetry = C2/m (12)

a b c (Å): 4.435 7.404 7.433
angles (deg): 99.44 107.36 90.00
Fractional positions:
Sb: 0.259 0.743 0.518
Er: 0.121 0.380 0.242
Er: 0.879 0.620 0.758
Sb: 0.000 0.000 0.000
Pm: 0.377 0.141 0.754
Sb: 0.741 0.257 0.482
Pm: 0.623 0.859 0.246

(12)
This record from Alexandria via LeMat-Bulk describes PmErSb2 after structural relaxation. The functional is GGA-PBE.

Results
- uncorrected formation energy (kJ/mol of formula units) = -439
- symmetry = R-3m (166)

a b c (Å): 4.427 4.427 7.654
angles (deg): 89.96 106.83 120.03
Fractional positions:
Sb: 0.506 0.253 0.759
Pm: 0.000 0.500 0.500
Sb: 0.494 0.747 0.241
Er: 0.000 0.000 0.000